DFT (PBE-GGA) results for AlMoW2 after structural relaxation.

The structure belongs to space group Imm2 (No. 44); the cell edges are 3.198, 4.458 and 8.826 Å and the angles 90.00°, 90.00° and 90.00°. The inequivalent atoms are Al at (0.000, 0.000, 0.000), Mo at (0.000, 0.500, 0.242), W at (0.000, 0.000, 0.502) and W at (0.000, 0.500, 0.760).

Its formation energy is -0.0124 eV/atom. For the spin magnetization, the calculation gives 0.00 μB/f.u.

---

DFT (PBE-GGA) results for ErMoOs after structural relaxation.

The structure belongs to space group Imma (No. 74); the cell edges are 5.326, 5.672 and 7.417 Å and the angles 90.00°, 90.00° and 90.00°. The inequivalent atoms are Er at (0.000, 0.250, 0.129), Mo at (0.250, 0.250, 0.750) and Os at (0.000, 0.000, 0.500).

Its formation energy is -0.2158 eV/atom. The excess energy over the best structure of this formula in the dataset comes out at 0.000 eV per atom. For the spin magnetization, the calculation gives 0.00 μB/f.u.

---

DFT (PBE-GGA) results for RbNa2Sb6 after structural relaxation.

The structure belongs to space group C2/m (No. 12); the cell edges are 15.527, 10.056 and 4.277 Å and the angles 90.00°, 105.74° and 90.00°. The inequivalent atoms are Rb at (0.000, 0.000, 0.000), Na at (0.148, 0.500, 0.147), Sb at (0.000, 0.356, 0.500) and Sb at (0.186, 0.224, 0.687).

For the spin magnetization, the calculation gives 0.00 μB/f.u. For the formation energy from raw total energies, the calculation gives -0.160 eV per atom.

---

DFT (PBE-GGA) results for Dy4Al after structural relaxation.

The structure belongs to space group Fd-3m (No. 227, origin choice 2); the cell edges are 11.135, 11.135 and 11.135 Å and the angles 90.00°, 90.00° and 90.00°. The inequivalent atoms are Dy at (0.019, 0.019, 0.231) and Al at (0.125, 0.125, 0.625).

Its formation energy is 0.5029 eV/atom. The excess energy over the best structure of this formula in the dataset comes out at 0.487 eV per atom. For the spin magnetization, the calculation gives 0.00 μB/f.u.

---

Table of V (Å³/cell), in record order: 126 224 643 1381